No. 1
# ZrBe3, relaxed, DFT PBE-GGA
data_ZrBe3
_cell_length_a 2.7753
_cell_length_b 2.7753
_cell_length_c 6.2280
_cell_angle_alpha 90.00
_cell_angle_beta 90.00
_cell_angle_gamma 90.00
_space_group_name_H-M_alt 'P 1'
_space_group_IT_number 1
_space_group_name_Hall 'P 1'
loop_
_atom_site_label
_atom_site_type_symbol
_atom_site_fract_x
_atom_site_fract_y
_atom_site_fract_z
Zr1 Zr 0.0000 0.0000 0.0000
Be1 Be 0.0000 0.0000 0.5000
Be2 Be 0.5000 0.5000 0.3170
Be3 Be 0.5000 0.5000 0.6830
# Relative energy among the computed polymorphs ... 0.2577 eV per atom
# Space group ... P4/mmm (123)
# Spin magnetization ... 0.00 μB/cell
# Final energy ... -4.85 eV/atom



No. 2
# K3Th3PdS8, relaxed, DFT PBE-GGA
data_K3Th3PdS8
_cell_length_a 8.1735
_cell_length_b 8.1735
_cell_length_c 8.7328
_cell_angle_alpha 116.91
_cell_angle_beta 116.91
_cell_angle_gamma 61.86
_space_group_name_H-M_alt 'P 1'
_space_group_IT_number 1
_space_group_name_Hall 'P 1'
loop_
_atom_site_label
_atom_site_type_symbol
_atom_site_fract_x
_atom_site_fract_y
_atom_site_fract_z
K1 K 0.0000 0.0000 0.0000
K2 K 0.0000 0.5000 0.0000
K3 K 0.5000 0.0000 0.0000
Th1 Th 0.0000 0.5000 0.5000
Th2 Th 0.5000 0.0000 0.5000
Th3 Th 0.5000 0.5000 0.5000
Pd1 Pd 0.0000 0.0000 0.5000
S1 S 0.2105 0.2105 0.6749
S2 S 0.2506 0.7068 0.7085
S3 S 0.2616 0.2616 0.2881
S4 S 0.2932 0.7494 0.2915
S5 S 0.7068 0.2506 0.7085
S6 S 0.7384 0.7384 0.7119
S7 S 0.7494 0.2932 0.2915
S8 S 0.7895 0.7895 0.3251
# Raw formation energy ... -1.516 eV per atom
# Space group ... C2/m (12)
# Spin magnetization ... 0.75 μB/cell
# Final energy ... -5.77 eV/atom



No. 3
# ScRuAu2, relaxed, DFT PBE-GGA
data_ScRuAu2
_cell_length_a 6.5329
_cell_length_b 6.5329
_cell_length_c 6.5329
_cell_angle_alpha 90.00
_cell_angle_beta 90.00
_cell_angle_gamma 90.00
_space_group_name_H-M_alt 'P 1'
_space_group_IT_number 1
_space_group_name_Hall 'P 1'
loop_
_atom_site_label
_atom_site_type_symbol
_atom_site_fract_x
_atom_site_fract_y
_atom_site_fract_z
Sc1 Sc 0.0000 0.0000 0.0000
Sc2 Sc 0.0000 0.5000 0.5000
Sc3 Sc 0.5000 0.0000 0.5000
Sc4 Sc 0.5000 0.5000 0.0000
Ru1 Ru 0.2500 0.2500 0.2500
Ru2 Ru 0.2500 0.7500 0.7500
Ru3 Ru 0.7500 0.2500 0.7500
Ru4 Ru 0.7500 0.7500 0.2500
Au1 Au 0.0000 0.0000 0.5000
Au2 Au 0.0000 0.5000 0.0000
Au3 Au 0.2500 0.2500 0.7500
Au4 Au 0.2500 0.7500 0.2500
Au5 Au 0.5000 0.0000 0.0000
Au6 Au 0.5000 0.5000 0.5000
Au7 Au 0.7500 0.2500 0.2500
Au8 Au 0.7500 0.7500 0.7500
# Space group ... F-43m (216)
# Spin magnetization ... 1.12 μB/cell
# Final energy ... -5.74 eV/atom



No. 4
# AlHg2As, relaxed, DFT PBE-GGA
data_AlHg2As
_cell_length_a 4.0110
_cell_length_b 4.0110
_cell_length_c 5.5618
_cell_angle_alpha 90.00
_cell_angle_beta 90.00
_cell_angle_gamma 90.00
_space_group_name_H-M_alt 'P 1'
_space_group_IT_number 1
_space_group_name_Hall 'P 1'
loop_
_atom_site_label
_atom_site_type_symbol
_atom_site_fract_x
_atom_site_fract_y
_atom_site_fract_z
Al1 Al 0.0000 0.0000 0.0000
Hg1 Hg 0.5000 0.5000 0.2493
Hg2 Hg 0.5000 0.5000 0.7507
As1 As 0.0000 0.0000 0.5000
# Relative energy among the computed polymorphs ... 0.3149 eV per atom
# Space group ... P4/mmm (123)
# Spin magnetization ... 0.00 μB/cell
# Final energy ... -1.97 eV/atom



No. 5
# Ba2EuCu, relaxed, DFT PBE-GGA
data_Ba2EuCu
_cell_length_a 4.0337
_cell_length_b 4.0337
_cell_length_c 10.3811
_cell_angle_alpha 90.00
_cell_angle_beta 90.00
_cell_angle_gamma 90.00
_space_group_name_H-M_alt 'P 1'
_space_group_IT_number 1
_space_group_name_Hall 'P 1'
loop_
_atom_site_label
_atom_site_type_symbol
_atom_site_fract_x
_atom_site_fract_y
_atom_site_fract_z
Ba1 Ba 0.0000 0.0000 0.1820
Ba2 Ba 0.0000 0.0000 0.8180
Eu1 Eu 0.5000 0.5000 0.5000
Cu1 Cu 0.5000 0.5000 0.0000
# Relative energy among the computed polymorphs ... 0.0000 eV per atom
# Space group ... P4/mmm (123)
# Spin magnetization ... 7.72 μB/cell
# Final energy ... -4.50 eV/atom



No. 6
# CuAgTe2Se4, relaxed, DFT PBE-GGA
data_CuAgTe2Se4
_cell_length_a 7.6389
_cell_length_b 7.6389
_cell_length_c 6.8935
_cell_angle_alpha 90.00
_cell_angle_beta 90.00
_cell_angle_gamma 90.00
_space_group_name_H-M_alt 'P 1'
_space_group_IT_number 1
_space_group_name_Hall 'P 1'
loop_
_atom_site_label
_atom_site_type_symbol
_atom_site_fract_x
_atom_site_fract_y
_atom_site_fract_z
Cu1 Cu 0.0000 0.0000 0.0000
Cu2 Cu 0.5000 0.5000 0.5000
Ag1 Ag 0.0000 0.0000 0.5000
Ag2 Ag 0.5000 0.5000 0.0000
Te1 Te 0.0000 0.5000 0.2500
Te2 Te 0.0000 0.5000 0.7500
Te3 Te 0.5000 0.0000 0.2500
Te4 Te 0.5000 0.0000 0.7500
Se1 Se 0.1723 0.1723 0.7735
Se2 Se 0.1723 0.8277 0.2265
Se3 Se 0.3277 0.3277 0.2735
Se4 Se 0.3277 0.6723 0.7265
Se5 Se 0.6723 0.3277 0.7265
Se6 Se 0.6723 0.6723 0.2735
Se7 Se 0.8277 0.1723 0.2265
Se8 Se 0.8277 0.8277 0.7735
# Raw formation energy ... 0.030 eV per atom
# Space group ... I-42m (121)
# Spin magnetization ... 0.00 μB/cell
# Final energy ... -3.37 eV/atom



No. 7
# Mg3Si4, relaxed, DFT PBE-GGA
data_Mg3Si4
_cell_length_a 5.1016
_cell_length_b 7.3617
_cell_length_c 7.8903
_cell_angle_alpha 73.86
_cell_angle_beta 72.15
_cell_angle_gamma 83.26
_space_group_name_H-M_alt 'P 1'
_space_group_IT_number 1
_space_group_name_Hall 'P 1'
loop_
_atom_site_label
_atom_site_type_symbol
_atom_site_fract_x
_atom_site_fract_y
_atom_site_fract_z
Mg1 Mg 0.0000 0.0000 0.0000
Mg2 Mg 0.1041 0.1059 0.5299
Mg3 Mg 0.2899 0.6630 0.7857
Mg4 Mg 0.5479 0.4383 0.4279
Mg5 Mg 0.7598 0.4084 0.0424
Mg6 Mg 0.8941 0.6962 0.5145
Si1 Si 0.1626 0.4268 0.2394
Si2 Si 0.2974 0.2865 0.9814
Si3 Si 0.3709 0.7317 0.1385
Si4 Si 0.4211 0.8173 0.3974
Si5 Si 0.5304 0.0678 0.6878
Si6 Si 0.6932 0.0768 0.3496
Si7 Si 0.7172 0.3374 0.7328
Si8 Si 0.7426 0.7963 0.8578
# Raw formation energy ... 0.102 eV per atom
# Relative energy among the computed polymorphs ... 0.0498 eV per atom
# Space group ... P1 (1)
# Spin magnetization ... 0.00 μB/cell
# Final energy ... -3.68 eV/atom



No. 8
# Sr2AcThP4, relaxed, DFT PBE-GGA
data_Sr2AcThP4
_cell_length_a 7.5259
_cell_length_b 4.3480
_cell_length_c 7.5545
_cell_angle_alpha 90.00
_cell_angle_beta 109.49
_cell_angle_gamma 90.00
_space_group_name_H-M_alt 'P 1'
_space_group_IT_number 1
_space_group_name_Hall 'P 1'
loop_
_atom_site_label
_atom_site_type_symbol
_atom_site_fract_x
_atom_site_fract_y
_atom_site_fract_z
Sr1 Sr 0.0000 0.0000 0.0000
Sr2 Sr 0.0000 0.5000 0.5000
Ac1 Ac 0.5000 0.0000 0.5000
Th1 Th 0.5000 0.5000 0.0000
P1 P 0.2644 0.5000 0.2407
P2 P 0.2716 0.0000 0.7693
P3 P 0.7284 0.0000 0.2307
P4 P 0.7356 0.5000 0.7593
# Space group ... P2/m (10)
# Spin magnetization ... 0.00 μB/cell
# Final energy ... -5.80 eV/atom



No. 9
# CsMgMoCl6, relaxed, DFT PBE-GGA
data_CsMgMoCl6
_cell_length_a 6.5186
_cell_length_b 6.5186
_cell_length_c 7.9056
_cell_angle_alpha 90.00
_cell_angle_beta 90.00
_cell_angle_gamma 120.00
_space_group_name_H-M_alt 'P 1'
_space_group_IT_number 1
_space_group_name_Hall 'P 1'
loop_
_atom_site_label
_atom_site_type_symbol
_atom_site_fract_x
_atom_site_fract_y
_atom_site_fract_z
Cs1 Cs 0.0000 0.0000 0.0000
Mg1 Mg 0.3333 0.6667 0.5000
Mo1 Mo 0.6667 0.3333 0.5000
Cl1 Cl 0.3733 0.0071 0.6785
Cl2 Cl 0.3733 0.3661 0.3215
Cl3 Cl 0.6339 0.0071 0.3215
Cl4 Cl 0.6339 0.6267 0.6785
Cl5 Cl 0.9929 0.3661 0.6785
Cl6 Cl 0.9929 0.6267 0.3215
# Raw formation energy ... -1.468 eV per atom
# Space group ... P312 (149)
# Spin magnetization ... 3.00 μB/cell
# Final energy ... -4.18 eV/atom



No. 10
# TeIrI2O, relaxed, DFT PBE-GGA
data_TeIrI2O
_cell_length_a 5.7530
_cell_length_b 5.7530
_cell_length_c 3.7479
_cell_angle_alpha 90.00
_cell_angle_beta 90.00
_cell_angle_gamma 90.00
_space_group_name_H-M_alt 'P 1'
_space_group_IT_number 1
_space_group_name_Hall 'P 1'
loop_
_atom_site_label
_atom_site_type_symbol
_atom_site_fract_x
_atom_site_fract_y
_atom_site_fract_z
Te1 Te 0.0000 0.0000 0.0000
Ir1 Ir 0.5000 0.5000 0.5000
I1 I 0.0000 0.5000 0.5000
I2 I 0.5000 0.0000 0.5000
O1 O 0.5000 0.5000 0.0000
# Raw formation energy ... 0.134 eV per atom
# Relative energy among the computed polymorphs ... 0.0000 eV per atom
# Space group ... P4/mmm (123)
# Spin magnetization ... 0.00 μB/cell
# Final energy ... -3.88 eV/atom



No. 11
# Li3ZnRh3, relaxed, DFT PBE-GGA
data_Li3ZnRh3
_cell_length_a 5.0310
_cell_length_b 5.0310
_cell_length_c 5.0310
_cell_angle_alpha 108.88
_cell_angle_beta 108.88
_cell_angle_gamma 108.88
_space_group_name_H-M_alt 'P 1'
_space_group_IT_number 1
_space_group_name_Hall 'P 1'
loop_
_atom_site_label
_atom_site_type_symbol
_atom_site_fract_x
_atom_site_fract_y
_atom_site_fract_z
Li1 Li 0.0122 0.4939 0.4939
Li2 Li 0.4939 0.0122 0.4939
Li3 Li 0.4939 0.4939 0.0122
Zn1 Zn 0.0900 0.0900 0.0900
Rh1 Rh 0.5241 0.9899 0.9899
Rh2 Rh 0.9899 0.5241 0.9899
Rh3 Rh 0.9899 0.9899 0.5241
# Space group ... R3m (160)
# Spin magnetization ... 0.28 μB/cell
# Final energy ... -4.17 eV/atom



No. 12
# Eu2BiPt, relaxed, DFT PBE-GGA
data_Eu2BiPt
_cell_length_a 3.6366
_cell_length_b 3.6366
_cell_length_c 8.3853
_cell_angle_alpha 90.00
_cell_angle_beta 90.00
_cell_angle_gamma 90.00
_space_group_name_H-M_alt 'P 1'
_space_group_IT_number 1
_space_group_name_Hall 'P 1'
loop_
_atom_site_label
_atom_site_type_symbol
_atom_site_fract_x
_atom_site_fract_y
_atom_site_fract_z
Eu1 Eu 0.0000 0.0000 0.2096
Eu2 Eu 0.0000 0.0000 0.7904
Bi1 Bi 0.5000 0.5000 0.5000
Pt1 Pt 0.5000 0.5000 0.0000
# Relative energy among the computed polymorphs ... 0.0000 eV per atom
# Space group ... P4/mmm (123)
# Spin magnetization ... 14.13 μB/cell
# Final energy ... -8.47 eV/atom